13
Lattice="5.539 0.000 2.258 2.769 8.497 1.129 0.120 0.000 7.626" Properties=species:S:1:pos:R:3 comment="PBE-GGA RbIn10Ag2, relaxed" energy_ev_per_cell=-34.3 delta_e_f_ev_per_atom=-0.018 spacegroup="No. 69" density_g_cm3=6.7 pbc="T T T"
In 2.829 0.000 4.942
In 3.790 5.378 6.547
In 6.245 6.412 8.446
In 0.060 0.000 3.813
In 3.476 2.085 7.317
In 6.559 3.119 7.676
In 4.952 6.412 3.696
In 4.638 3.119 4.467
In 1.869 5.378 3.338
In 2.183 2.085 2.567
Ag 1.385 4.249 0.565
Ag 4.154 4.249 1.694
Rb 0.000 0.000 0.000